Record 1
The following is a DFT calculation (GGA-PBE) of an optimized crystal structure of ScCdW2.

The calculation puts the energy of formation at 553 meV per atom. For the total energy, the calculation gives -92.83 eV/cell. As for the crystal system: trigonal.

It has space group R-3m (No. 166, hexagonal axes), with a = 2.9292 Å, b = 2.9292 Å, c = 29.6223 Å, α = 90.00°, β = 90.00° and γ = 120.00°. The asymmetric unit holds Sc at (0.0000, 0.0000, 0.0000), Cd at (0.0000, 0.0000, 0.5000) and W at (0.0000, 0.0000, 0.2504).

=====

Record 2
The following is a DFT calculation (GGA-PBE) of an optimized crystal structure of ScCd2W.

The calculation puts the energy of formation at 567 meV per atom. For the total energy, the calculation gives -75.39 eV/cell. As for the crystal system: cubic.

It has space group F-43m (No. 216), with a = 6.840 Å, b = 6.840 Å, c = 6.840 Å, α = 90.00°, β = 90.00° and γ = 90.00°. The asymmetric unit holds Sc at (0.000, 0.000, 0.000), Cd at (0.000, 0.000, 0.500), Cd at (0.250, 0.250, 0.250) and W at (0.250, 0.250, 0.750).